Compound: KCo2Os
Source: the Alexandria database
Functional: GGA-PBE
Structure: optimized geometry

Total magnetic moment   0.659 μB per atom
Symmetry   Cm (8)
V   19.26 Å³ per atom
Energy of formation   3.4 eV per formula unit

Cell lengths 4.4691, 4.4691, 6.8094 Å; angles 96.68, 96.68, 34.80 degrees
Last column: nearest neighbours and their distance in Å.
Fractional positions:
K (0.0000, 0.0000, 0.0000)  2 K 2.67
Co (0.4893, 0.4893, 0.5126)  2 Co 2.39, 3 Os 2.43-2.48
Co (0.7823, 0.7823, 0.3468)  2 Co 2.39, 2 Os 2.41
Os (0.2222, 0.2222, 0.6218)  5 Co 2.41-2.48, 2 Os 2.67



Compound: PmAsRuO5
Source: the Alexandria database
Functional: GGA-PBE
Structure: optimized geometry

Total magnetic moment   0.250 μB per atom
Symmetry   C2/c (15)
V   15.49 Å³ per atom
E_form (uncorrected)   -144.6 kJ/mol of atoms

Cell lengths 5.5887, 5.5887, 8.8710 Å; angles 101.88, 101.88, 107.41 degrees
Last column: nearest neighbours and their distance in Å.
Fractional positions:
Pm (0.0000, 0.0000, 0.0000)  6 O 2.32-2.43
Pm (0.0000, 0.0000, 0.5000)  6 O 2.32-2.43
As (0.3208, 0.6792, 0.7500)  4 O 1.71-1.76
As (0.6792, 0.3208, 0.2500)  4 O 1.71-1.76
Ru (0.3008, 0.6992, 0.2500)  1 O 1.85
Ru (0.6992, 0.3008, 0.7500)  1 O 1.85
O (0.0334, 0.6391, 0.8095)  1 As 1.76
O (0.0954, 0.9046, 0.2500)  1 Ru 1.85
O (0.3014, 0.4250, 0.5974)  1 As 1.71
O (0.3609, 0.9666, 0.6905)  1 As 1.76
O (0.4250, 0.3014, 0.0974)  1 As 1.71
O (0.5750, 0.6986, 0.9026)  1 As 1.71
O (0.6391, 0.0334, 0.3095)  1 As 1.76
O (0.6986, 0.5750, 0.4026)  1 As 1.71
O (0.9046, 0.0954, 0.7500)  1 Ru 1.85
O (0.9666, 0.3609, 0.1905)  1 As 1.76



Compound: KNbH2
Source: the Alexandria database
Functional: GGA-PBE
Structure: optimized geometry

Total magnetic moment   0.000 μB per atom
Energy   -4.116 eV per atom
Symmetry   I-42d (122)
V   15.04 Å³ per atom

Cell lengths 5.4994, 5.4994, 5.4994 Å; angles 118.36, 118.36, 92.86 degrees
Last column: nearest neighbours and their distance in Å.
Fractional positions:
K (0.0000, 0.0000, 0.0000)  4 H 2.60
K (0.7500, 0.2500, 0.5000)  4 H 2.60
Nb (0.2500, 0.7500, 0.5000)  4 H 1.90
Nb (0.5000, 0.5000, 0.0000)  4 H 1.90
H (0.2245, 0.6250, 0.0995)  2 Nb 1.90
H (0.3750, 0.4745, 0.5995)  2 Nb 1.90
H (0.5255, 0.1250, 0.9005)  2 Nb 1.90
H (0.8750, 0.7755, 0.4005)  2 Nb 1.90



Compound: Ac8TbNd2
Source: the Alexandria database
Functional: GGA-PBE
Structure: optimized geometry

Total magnetic moment   0.000 μB per atom
Symmetry   C2/m (12)
V   41.94 Å³ per atom
Energy of formation   0.4 eV per formula unit

Cell lengths 10.2642, 10.2642, 8.7130 Å; angles 104.82, 104.82, 31.42 degrees
Last column: nearest neighbours and their distance in Å.
Fractional positions:
Ac (0.0468, 0.0468, 0.2299)  1 Nd 3.86, 9 Ac 3.89-3.95, 2 Tb 3.91
Ac (0.1375, 0.1375, 0.6871)  3 Nd 3.82-3.90, 7 Ac 3.86-3.91, 2 Tb 3.93
Ac (0.3187, 0.3187, 0.5861)  1 Tb 3.85, 3 Nd 3.88-3.95, 8 Ac 3.89-3.94
Ac (0.4071, 0.4071, 0.0486)  3 Nd 3.84-3.87, 8 Ac 3.86-3.98, 1 Tb 3.87
Ac (0.5929, 0.5929, 0.9514)  3 Nd 3.84-3.87, 8 Ac 3.86-3.98, 1 Tb 3.87
Ac (0.6813, 0.6813, 0.4139)  1 Tb 3.85, 3 Nd 3.88-3.95, 8 Ac 3.89-3.94
Ac (0.8625, 0.8625, 0.3129)  3 Nd 3.82-3.90, 7 Ac 3.86-3.91, 2 Tb 3.93
Ac (0.9532, 0.9532, 0.7701)  1 Nd 3.86, 9 Ac 3.89-3.95, 2 Tb 3.91
Tb (0.5000, 0.5000, 0.5000)  12 Ac 3.85-3.93
Nd (0.2263, 0.2263, 0.1335)  10 Ac 3.82-3.95, 2 Nd 3.90
Nd (0.7737, 0.7737, 0.8665)  10 Ac 3.82-3.95, 2 Nd 3.90



Compound: YP3Ir6
Source: the Alexandria database
Functional: GGA-PBE
Structure: optimized geometry

Total magnetic moment   0.000 μB per atom
Symmetry   R3 (146)
V   15.68 Å³ per atom
Energy of formation   -4.9 eV per formula unit

Cell lengths 6.7924, 6.7924, 6.7924 Å; angles 47.66, 47.66, 47.66 degrees
Last column: nearest neighbours and their distance in Å.
Fractional positions:
Y (0.0000, 0.0000, 0.0000)  7 P 2.91-3.22, 9 Ir 2.95-3.24
P (0.3014, 0.3014, 0.3014)  6 Ir 2.36-2.39
P (0.6374, 0.6374, 0.6374)  6 Ir 2.38-2.39
P (0.8385, 0.8385, 0.8385)  6 Ir 2.40-2.46
Ir (0.0713, 0.5779, 0.5552)  3 P 2.38-2.46
Ir (0.2960, 0.4545, 0.8722)  3 P 2.36-2.40
Ir (0.4545, 0.8722, 0.2960)  3 P 2.36-2.40
Ir (0.5552, 0.0713, 0.5779)  3 P 2.38-2.46
Ir (0.5779, 0.5552, 0.0713)  3 P 2.38-2.46
Ir (0.8722, 0.2960, 0.4545)  3 P 2.36-2.40



Compound: TiGaGe
Source: the Alexandria database
Functional: GGA-PBE
Structure: optimized geometry

Total magnetic moment   0.000 μB per atom
Symmetry   P4/nmm (129)
V   16.65 Å³ per atom
Energy of formation   -1.0 eV per formula unit

Cell lengths 3.7156, 3.7156, 7.2384 Å; angles 90.00, 90.00, 90.00 degrees
Last column: nearest neighbours and their distance in Å.
Fractional positions:
Ti (0.2500, 0.2500, 0.1884)  5 Ge 2.60-2.63
Ti (0.7500, 0.7500, 0.8116)  5 Ge 2.60-2.63
Ga (0.2500, 0.7500, 0.5000)  4 Ga 2.63, 4 Ti 2.92
Ga (0.7500, 0.2500, 0.5000)  4 Ga 2.63, 4 Ti 2.92
Ge (0.2500, 0.2500, 0.8287)  5 Ti 2.60-2.63
Ge (0.7500, 0.7500, 0.1713)  5 Ti 2.60-2.63



Compound: CsInAg3
Source: the Alexandria database
Functional: GGA-PBE
Structure: optimized geometry

Total magnetic moment   0.000 μB per atom
Symmetry   P2_1/c (14)
V   32.81 Å³ per atom
Energy of formation   0.1 eV per formula unit

Cell lengths 8.8153, 8.1310, 9.8360 Å; angles 90.00, 111.44, 90.00 degrees
Last column: nearest neighbours and their distance in Å.
Fractional positions:
Cs (0.1218, 0.1162, 0.2077)  6 Ag 3.77-4.06, 1 In 4.03
Cs (0.1218, 0.3838, 0.7077)  6 Ag 3.77-4.06, 1 In 4.03
Cs (0.8782, 0.6162, 0.2923)  6 Ag 3.77-4.06, 1 In 4.03
Cs (0.8782, 0.8838, 0.7923)  6 Ag 3.77-4.06, 1 In 4.03
In (0.4107, 0.7418, 0.5946)  7 Ag 2.78-2.93
In (0.4107, 0.7582, 0.0946)  7 Ag 2.78-2.93
In (0.5893, 0.2418, 0.9054)  7 Ag 2.78-2.93
In (0.5893, 0.2582, 0.4054)  7 Ag 2.78-2.93
Ag (0.1535, 0.5500, 0.0772)  3 Ag 2.70-2.96, 1 In 2.78
Ag (0.1535, 0.9500, 0.5772)  3 Ag 2.70-2.96, 1 In 2.78
Ag (0.4273, 0.5669, 0.3526)  3 In 2.82-2.93, 4 Ag 2.86-2.92
Ag (0.4273, 0.9331, 0.8526)  3 In 2.82-2.93, 4 Ag 2.86-2.92
Ag (0.4737, 0.0957, 0.6133)  4 Ag 2.86-2.96, 3 In 2.91-2.93
Ag (0.4737, 0.4043, 0.1133)  4 Ag 2.86-2.96, 3 In 2.91-2.93
Ag (0.5263, 0.5957, 0.8867)  4 Ag 2.86-2.96, 3 In 2.91-2.93
Ag (0.5263, 0.9043, 0.3867)  4 Ag 2.86-2.96, 3 In 2.91-2.93
Ag (0.5727, 0.0669, 0.1474)  3 In 2.82-2.93, 4 Ag 2.86-2.92
Ag (0.5727, 0.4331, 0.6474)  3 In 2.82-2.93, 4 Ag 2.86-2.92
Ag (0.8465, 0.0500, 0.4228)  3 Ag 2.70-2.96, 1 In 2.78
Ag (0.8465, 0.4500, 0.9228)  3 Ag 2.70-2.96, 1 In 2.78



Compound: LiTaPd6
Source: the Alexandria database
Functional: GGA-PBE
Structure: optimized geometry

Total magnetic moment   0.000 μB per atom
Symmetry   P4/mmm (123)
V   15.26 Å³ per atom
Energy of formation   -3.3 eV per formula unit

Cell lengths 3.9580, 3.9580, 7.7902 Å; angles 90.00, 90.00, 90.00 degrees
Last column: nearest neighbours and their distance in Å.
Fractional positions:
Li (0.0000, 0.0000, 0.0000)  12 Pd 2.80
Ta (0.0000, 0.0000, 0.5000)  12 Pd 2.76-2.80
Pd (0.0000, 0.5000, 0.2534)  2 Ta 2.76, 8 Pd 2.76-2.80, 2 Li 2.80
Pd (0.0000, 0.5000, 0.7466)  8 Pd 2.76-2.80, 2 Ta 2.76, 2 Li 2.80
Pd (0.5000, 0.0000, 0.2534)  2 Ta 2.76, 8 Pd 2.76-2.80, 2 Li 2.80
Pd (0.5000, 0.0000, 0.7466)  8 Pd 2.76-2.80, 2 Ta 2.76, 2 Li 2.80
Pd (0.5000, 0.5000, 0.0000)  8 Pd 2.80, 4 Li 2.80
Pd (0.5000, 0.5000, 0.5000)  8 Pd 2.76, 4 Ta 2.80